# 1
# CdCu2Au

A relaxed structure of CdCu2Au (GGA-PBEsol, Alexandria via LeMat-Bulk).

The structure belongs to space group Pmmm (No. 47); the cell edges are 2.880, 3.569 and 5.750 Å and the angles 90.00°, 90.00° and 90.00°. Symmetry generates all atoms from Cd at (0.000, 0.000, 0.000), Cu at (0.500, 0.500, 0.261) and Au at (0.000, 0.000, 0.500).

The density of states at the Fermi level comes out at 0.335 states/eV per atom. The value obtained for the energy is -3.46 eV/atom. The magnetization comes out at 0.00 μB/cell. The energy relative to the elements is -0.01 eV per atom.

=====

# 2
# NaTcSe2Br

A relaxed structure of NaTcSe2Br (GGA-PBEsol, Alexandria via LeMat-Bulk).

The structure belongs to space group P4/mmm (No. 123); the cell edges are 4.987, 4.987 and 5.122 Å and the angles 90.00°, 90.00° and 90.00°. Symmetry generates all atoms from Na at (0.000, 0.000, 0.000), Tc at (0.500, 0.500, 0.500), Se at (0.000, 0.500, 0.000) and Br at (0.000, 0.000, 0.500).

The density of states at the Fermi level comes out at 1.132 states/eV per atom. The value obtained for the energy is -3.35 eV/atom. The magnetization comes out at 4.50 μB/cell. For the formation energy (no corrections), the calculation gives 1.09 eV/atom.

=====

# 3
# Li5Sb

A relaxed structure of Li5Sb (GGA-PBEsol, Alexandria via LeMat-Bulk).

The structure belongs to space group P2/m (No. 10); the cell edges are 4.512, 4.507 and 5.673 Å and the angles 90.00°, 113.33° and 90.00°. Symmetry generates all atoms from Li at (0.000, 0.000, 0.000), Li at (0.166, 0.500, 0.332), Li at (0.347, 0.000, 0.695) and Sb at (0.500, 0.500, 0.000).

The density of states at the Fermi level comes out at 0.226 states/eV per atom. The value obtained for the energy is -2.79 eV/atom. The magnetization comes out at 0.00 μB/cell. For the formation energy (no corrections), the calculation gives -0.39 eV/atom.

=====

# 4
# BaSr3O

A relaxed structure of BaSr3O (GGA-PBEsol, Alexandria via LeMat-Bulk).

The structure belongs to space group Pm-3m (No. 221); the cell edges are 6.649, 6.649 and 6.649 Å and the angles 90.00°, 90.00° and 90.00°. Symmetry generates all atoms from Ba at (0.000, 0.000, 0.000), Sr at (0.000, 0.000, 0.500) and O at (0.500, 0.500, 0.500).

The density of states at the Fermi level comes out at 1.665 states/eV per atom. The value obtained for the energy is -1.40 eV/atom. The magnetization comes out at 5.82 μB/cell. For the formation energy (no corrections), the calculation gives 1.18 eV/atom.

=====

# 5
# ZnI2N2

A relaxed structure of ZnI2N2 (GGA-PBEsol, Alexandria via LeMat-Bulk).

The structure belongs to space group P4/mmm (No. 123); the cell edges are 4.291, 4.291 and 5.968 Å and the angles 90.00°, 90.00° and 90.00°. Symmetry generates all atoms from Zn at (0.000, 0.000, 0.000), I at (0.000, 0.000, 0.500), I at (0.500, 0.500, 0.500) and N at (0.000, 0.500, 0.000).

The density of states at the Fermi level comes out at 0.374 states/eV per atom. The value obtained for the energy is -2.87 eV/atom. The magnetization comes out at 4.09 μB/cell. For the formation energy (no corrections), the calculation gives 1.56 eV/atom.

=====

# 6
# Y3WO

A relaxed structure of Y3WO (GGA-PBEsol, Alexandria via LeMat-Bulk).

The structure belongs to space group Pm-3m (No. 221); the cell edges are 5.265, 5.265 and 5.265 Å and the angles 90.00°, 90.00° and 90.00°. Symmetry generates all atoms from Y at (0.000, 0.000, 0.500), W at (0.000, 0.000, 0.000) and O at (0.500, 0.500, 0.500).

The density of states at the Fermi level comes out at 0.787 states/eV per atom. The value obtained for the energy is -7.07 eV/atom. The magnetization comes out at 0.00 μB/cell. For the formation energy (no corrections), the calculation gives 0.83 eV/atom.

=====

# 7
# Sb4PbAu

A relaxed structure of Sb4PbAu (GGA-PBEsol, Alexandria via LeMat-Bulk).

The structure belongs to space group F-43m (No. 216); the cell edges are 8.684, 8.684 and 8.684 Å and the angles 90.00°, 90.00° and 90.00°. Symmetry generates all atoms from Sb at (0.124, 0.124, 0.376), Pb at (0.000, 0.000, 0.000) and Au at (0.250, 0.250, 0.750).

The density of states at the Fermi level comes out at 0.484 states/eV per atom. The value obtained for the energy is -4.00 eV/atom. The magnetization comes out at 0.00 μB/cell. For the formation energy (no corrections), the calculation gives 0.36 eV/atom.

=====

# 8
# Sr4ZrPt

A relaxed structure of Sr4ZrPt (GGA-PBEsol, Alexandria via LeMat-Bulk).

The structure belongs to space group F-43m (No. 216); the cell edges are 9.235, 9.235 and 9.235 Å and the angles 90.00°, 90.00° and 90.00°. Symmetry generates all atoms from Sr at (0.125, 0.125, 0.125), Zr at (0.000, 0.000, 0.500) and Pt at (0.250, 0.250, 0.750).

The density of states at the Fermi level comes out at 1.328 states/eV per atom. The value obtained for the energy is -2.95 eV/atom. The magnetization comes out at 16.96 μB/cell. The energy relative to the elements is 0.95 eV per atom.

=====

# 9
# SrMnSiMo2

A relaxed structure of SrMnSiMo2 (GGA-PBEsol, Alexandria via LeMat-Bulk).

The structure belongs to space group P4/mmm (No. 123); the cell edges are 4.719, 4.719 and 4.548 Å and the angles 90.00°, 90.00° and 90.00°. Symmetry generates all atoms from Sr at (0.000, 0.000, 0.000), Mn at (0.000, 0.000, 0.500), Si at (0.500, 0.500, 0.500) and Mo at (0.000, 0.500, 0.000).

The density of states at the Fermi level comes out at 1.353 states/eV per atom. The value obtained for the energy is -5.24 eV/atom. The magnetization comes out at 3.40 μB/cell. For the formation energy (no corrections), the calculation gives 2.94 eV/atom.

=====

# 10
# Co2RuPt

A relaxed structure of Co2RuPt (GGA-PBEsol, Alexandria via LeMat-Bulk).

The structure belongs to space group Fm-3m (No. 225); the cell edges are 5.837, 5.837 and 5.837 Å and the angles 90.00°, 90.00° and 90.00°. Symmetry generates all atoms from Co at (0.250, 0.250, 0.250), Ru at (0.000, 0.000, 0.000) and Pt at (0.000, 0.000, 0.500).

The density of states at the Fermi level comes out at 1.828 states/eV per atom. The value obtained for the energy is -7.91 eV/atom. The magnetization comes out at 15.71 μB/cell. The energy relative to the elements is 0.24 eV per atom.

=====

# 11
# KZn2Re

A relaxed structure of KZn2Re (GGA-PBEsol, Alexandria via LeMat-Bulk).

The structure belongs to space group R-3m (No. 166, hexagonal axes); the cell edges are 2.7807, 2.7807 and 30.5926 Å and the angles 90.00°, 90.00° and 120.00°. Symmetry generates all atoms from K at (0.0000, 0.0000, 0.0000), Zn at (0.0000, 0.0000, 0.2387) and Re at (0.0000, 0.0000, 0.5000).

The density of states at the Fermi level comes out at 0.527 states/eV per atom. The value obtained for the energy is -3.86 eV/atom. The magnetization comes out at 0.00 μB/cell. The energy relative to the elements is 0.55 eV per atom.

=====

# 12
# VO2F

A relaxed structure of VO2F (GGA-PBEsol, Alexandria via LeMat-Bulk).

The structure belongs to space group P2_12_12_1 (No. 19); the cell edges are 4.928, 5.026 and 8.786 Å and the angles 90.00°, 90.00° and 90.00°. Symmetry generates all atoms from V at (0.119, 0.140, 0.126), O at (0.070, 0.388, 0.250), O at (0.107, 0.655, 0.513) and F at (0.122, 0.106, 0.623).

The density of states at the Fermi level comes out at 0.000 states/eV per atom. The value obtained for the energy is -7.92 eV/atom. The magnetization comes out at 0.00 μB/cell. For the formation energy (no corrections), the calculation gives -2.40 eV/atom.

=====

# 13
# Hf2Ni2Pt

A relaxed structure of Hf2Ni2Pt (GGA-PBEsol, Alexandria via LeMat-Bulk).

The structure belongs to space group P4/mbm (No. 127); the cell edges are 6.814, 6.814 and 3.236 Å and the angles 90.00°, 90.00° and 90.00°. Symmetry generates all atoms from Hf at (0.177, 0.323, 0.000), Ni at (0.124, 0.624, 0.500) and Pt at (0.000, 0.000, 0.500).

The density of states at the Fermi level comes out at 0.735 states/eV per atom. The value obtained for the energy is -8.82 eV/atom. The magnetization comes out at 0.00 μB/cell. The energy relative to the elements is -0.77 eV per atom.